1.
Entry from Alexandria: VCuB2Pb after structural relaxation (PBE).

Final energy = -3.463 eV per atom
Calculated volume = 21.0 Å³ per atom
Total magnetic moment = 0.47 μB/f.u.
Density = 5.44 g/cm³

```
data_VCuB2Pb
_chemical_formula_sum 'V1 Cu1 B2 Pb1'
_cell_length_a 4.469
_cell_length_b 4.469
_cell_length_c 5.252
_cell_angle_alpha 90.00
_cell_angle_beta 90.00
_cell_angle_gamma 90.00
_space_group_name_H-M_alt 'P 4/m m m'
_space_group_IT_number 123
_space_group_name_Hall '-P 4 2'
loop_
_atom_site_label
_atom_site_fract_x
_atom_site_fract_y
_atom_site_fract_z
V1 0.000 0.000 0.000
Cu1 0.500 0.500 0.000
B1 0.000 0.500 0.500
Pb1 0.000 0.000 0.500
```

---

2.
Entry from Alexandria: ZrCdCl2 after structural relaxation (PBE).

Final energy = -4.200 eV per atom
Calculated volume = 25.5 Å³ per atom
Total magnetic moment = 0.31 μB/f.u.
Density = 4.47 g/cm³
Formation energy without anion corrections = -911 meV/atom
Excess energy over the best structure of this formula in the dataset = 0.161 eV per atom

```
data_ZrCdCl2
_chemical_formula_sum 'Zr1 Cd1 Cl2'
_cell_length_a 3.191
_cell_length_b 3.191
_cell_length_c 10.025
_cell_angle_alpha 90.00
_cell_angle_beta 90.00
_cell_angle_gamma 90.00
_space_group_name_H-M_alt 'P 4/m m m'
_space_group_IT_number 123
_space_group_name_Hall '-P 4 2'
loop_
_atom_site_label
_atom_site_fract_x
_atom_site_fract_y
_atom_site_fract_z
Zr1 0.000 0.000 0.000
Cd1 0.000 0.000 0.500
Cl1 0.500 0.500 0.155
```